1.
# ErZr2W

A relaxed structure of ErZr2W (PBE-GGA, Alexandria).

Calculated values
**Mass density**: 9.75 g/cm3
**Energy of formation**: 0.160 eV per atom
**Volume**: 90.9 Å³ per cell
**Size of the total moment**: 0.0 μB/f.u.
**E_tot**: -8.494 eV/atom

```
4
Lattice="3.4562 0.0000 0.0000 0.0000 3.4562 0.0000 0.0000 0.0000 7.6108" Properties=species:S:1:pos:R:3 pbc="T T T"
Er 0.0000 0.0000 0.0000
Zr 1.7281 1.7281 2.2649
Zr 1.7281 1.7281 5.3459
W 0.0000 0.0000 3.8054
```

=====

2.
# Y5Er

A relaxed structure of Y5Er (PBE-GGA, Alexandria).

Calculated values
**Mass density**: 5.30 g/cm3
**Energy relative to the lowest polymorph listed for this composition**: 0.0000 eV/atom
**Energy of formation**: 0.025 eV per atom
**Volume**: 191.5 Å³ per cell
**Size of the total moment**: 0.0 μB/f.u.
**E_tot**: -6.122 eV/atom

```
6
Lattice="2.5165 -7.5653 0.0000 2.5165 7.5653 0.0000 0.0000 0.0000 5.0297" Properties=species:S:1:pos:R:3 pbc="T T T"
Y 0.0000 0.0000 0.0000
Y 2.5165 5.0538 2.5149
Y 2.5165 2.5133 0.0000
Y 2.5165 -2.5133 0.0000
Y 2.5165 -5.0538 2.5149
Er 2.5165 0.0000 2.5149
```

=====

3.
# Y3Er

A relaxed structure of Y3Er (PBE-GGA, Alexandria).

Calculated values
**Mass density**: 5.59 g/cm3
**Energy relative to the lowest polymorph listed for this composition**: 0.0000 eV/atom
**Energy of formation**: -0.001 eV per atom
**Volume**: 128.9 Å³ per cell
**Size of the total moment**: 0.0 μB/f.u.
**E_tot**: -5.990 eV/atom

```
4
Lattice="3.6357 0.0000 0.0000 0.0000 5.6297 0.0000 0.0000 0.0000 6.2968" Properties=species:S:1:pos:R:3 pbc="T T T"
Y 0.0000 0.0000 0.0000
Y 0.0000 2.8149 2.1093
Y 1.8178 2.8149 5.2453
Er 1.8178 0.0000 3.1530
```

=====

4.
# Y2Er13

A relaxed structure of Y2Er13 (PBE-GGA, Alexandria).

Calculated values
**Mass density**: 7.39 g/cm3
**Energy relative to the lowest polymorph listed for this composition**: 0.0000 eV/atom
**Energy of formation**: 0.605 eV per atom
**Volume**: 528.5 Å³ per cell
**Size of the total moment**: 0.0 μB/f.u.
**E_tot**: -4.212 eV/atom

```
15
Lattice="4.3947 2.5373 7.8992 -4.3947 2.5373 7.8992 0.0000 -5.0746 7.8992" Properties=species:S:1:pos:R:3 pbc="T T T"
Y 0.0000 0.0000 5.7309
Y 0.0000 0.0000 17.9668
Er 0.0000 -3.2481 5.3531
Er -2.8130 1.6241 5.3531
Er 0.0000 -1.8619 8.6267
Er -1.6125 0.9310 8.6267
Er -2.8129 -1.6241 18.3446
Er -1.6125 -0.9310 15.0710
Er 0.0000 0.0000 11.8488
Er 1.6125 0.9310 8.6267
Er 2.8130 1.6241 5.3531
Er 1.6125 -0.9310 15.0710
Er 0.0000 1.8619 15.0710
Er 2.8129 -1.6241 18.3446
Er 0.0000 3.2481 18.3446
```

=====

5.
# Y3Er4

A relaxed structure of Y3Er4 (PBE-GGA, Alexandria).

Calculated values
**Mass density**: 6.97 g/cm3
**Energy relative to the lowest polymorph listed for this composition**: 0.1305 eV/atom
**Energy of formation**: 0.134 eV per atom
**Volume**: 223.0 Å³ per cell
**Size of the total moment**: 0.0 μB/f.u.
**E_tot**: -5.243 eV/atom

```
7
Lattice="8.2789 -1.7372 0.0000 8.2789 1.7372 0.0000 -3.8011 0.0000 7.7533" Properties=species:S:1:pos:R:3 pbc="T T T"
Y 0.0000 0.0000 0.0000
Y 3.1079 0.0000 1.1721
Y 9.6488 0.0000 6.5812
Er -1.3643 0.0000 5.4203
Er 3.8096 0.0000 4.5914
Er 8.9471 0.0000 3.1619
Er 14.1210 0.0000 2.3330
```

=====

6.
# Y4Er

A relaxed structure of Y4Er (PBE-GGA, Alexandria).

Calculated values
**Mass density**: 5.41 g/cm3
**Energy relative to the lowest polymorph listed for this composition**: 0.0283 eV/atom
**Energy of formation**: 0.055 eV per atom
**Volume**: 160.5 Å³ per cell
**Size of the total moment**: 0.0 μB/f.u.
**E_tot**: -6.029 eV/atom

```
5
Lattice="2.7247 -8.3635 0.0000 2.7247 8.3635 0.0000 0.0000 0.0000 3.5218" Properties=species:S:1:pos:R:3 pbc="T T T"
Y 2.7247 6.5452 0.0000
Y 2.7247 3.3301 1.7609
Y 2.7247 -3.3301 1.7609
Y 2.7247 -6.5452 0.0000
Er 2.7247 0.0000 1.7609
```